# 1
# PmPu2MnC4

A relaxed PmPu2MnC4 crystal (GGA-PBE, the Alexandria database).

a = 5.980 Å, b = 5.980 Å, c = 11.917 Å
α = 90.00°, β = 90.00°, γ = 145.78°
Element x y z (fractional)
Pm (0.103, 0.897, 0.750)
Pm (0.897, 0.103, 0.250)
Pu (0.370, 0.630, 0.545)
Pu (0.370, 0.630, 0.955)
Pu (0.630, 0.370, 0.045)
Pu (0.630, 0.370, 0.455)
Mn (0.166, 0.834, 0.250)
Mn (0.834, 0.166, 0.750)
C (0.000, 0.000, 0.000)
C (0.000, 0.000, 0.500)
C (0.260, 0.740, 0.128)
C (0.260, 0.740, 0.372)
C (0.412, 0.588, 0.750)
C (0.588, 0.412, 0.250)
C (0.740, 0.260, 0.628)
C (0.740, 0.260, 0.872)

Output
E = -9.9055 eV per atom
Total magnetic moment = 9.82 μB per formula unit

# 2
# Pm2Mn2Si2C

A relaxed Pm2Mn2Si2C crystal (GGA-PBE, the Alexandria database).

a = 5.806 Å, b = 5.806 Å, c = 7.047 Å
α = 126.80°, β = 126.80°, γ = 40.21°
Element x y z (fractional)
Pm (0.062, 0.062, 0.296)
Pm (0.938, 0.938, 0.704)
Mn (0.302, 0.302, 0.912)
Mn (0.698, 0.698, 0.088)
Si (0.333, 0.333, 0.272)
Si (0.667, 0.667, 0.728)
C (0.500, 0.500, 0.000)

Output
E = -7.4040 eV per atom
Total magnetic moment = 0.32 μB per formula unit

# 3
# PmMn2Si2C

A relaxed PmMn2Si2C crystal (GGA-PBE, the Alexandria database).

a = 3.913 Å, b = 3.913 Å, c = 5.304 Å
α = 90.00°, β = 90.00°, γ = 90.00°
Element x y z (fractional)
Pm (0.000, 0.000, 0.000)
Mn (0.000, 0.500, 0.500)
Mn (0.500, 0.000, 0.500)
Si (0.500, 0.500, 0.232)
Si (0.500, 0.500, 0.768)
C (0.000, 0.000, 0.500)

Output
E = -7.6591 eV per atom
Total magnetic moment = 0.70 μB per formula unit

# 4
# PmMn2SiC

A relaxed PmMn2SiC crystal (GGA-PBE, the Alexandria database).

a = 5.659 Å, b = 5.659 Å, c = 7.056 Å
α = 90.00°, β = 90.00°, γ = 140.56°
Element x y z (fractional)
Pm (0.046, 0.954, 0.750)
Pm (0.954, 0.046, 0.250)
Mn (0.332, 0.668, 0.563)
Mn (0.332, 0.668, 0.937)
Mn (0.668, 0.332, 0.063)
Mn (0.668, 0.332, 0.437)
Si (0.233, 0.767, 0.250)
Si (0.767, 0.233, 0.750)
C (0.500, 0.500, 0.000)
C (0.500, 0.500, 0.500)

Output
E = -7.9833 eV per atom
Total magnetic moment = 2.74 μB per formula unit

# 5
# PmMnTcC3

A relaxed PmMnTcC3 crystal (GGA-PBE, the Alexandria database).

a = 5.952 Å, b = 3.398 Å, c = 7.687 Å
α = 90.00°, β = 109.00°, γ = 90.00°
Element x y z (fractional)
Pm (0.025, 0.250, 0.227)
Pm (0.975, 0.750, 0.773)
Mn (0.452, 0.750, 0.110)
Mn (0.548, 0.250, 0.890)
Tc (0.383, 0.750, 0.594)
Tc (0.617, 0.250, 0.406)
C (0.247, 0.250, 0.654)
C (0.304, 0.250, 0.016)
C (0.349, 0.750, 0.331)
C (0.651, 0.250, 0.669)
C (0.696, 0.750, 0.984)
C (0.753, 0.750, 0.346)

Output
E = -8.5576 eV per atom
Total magnetic moment = 0.56 μB per formula unit

# 6
# Pm2MnZnC

A relaxed Pm2MnZnC crystal (GGA-PBE, the Alexandria database).

a = 5.179 Å, b = 5.179 Å, c = 3.769 Å
α = 90.00°, β = 90.00°, γ = 90.00°
Element x y z (fractional)
Pm (0.000, 0.500, 0.000)
Pm (0.500, 0.000, 0.000)
Mn (0.000, 0.000, 0.500)
Zn (0.500, 0.500, 0.500)
C (0.000, 0.000, 0.000)

Output
E = -6.0241 eV per atom
Total magnetic moment = 1.49 μB per formula unit

# 7
# Pr12Mn5C15

A relaxed Pr12Mn5C15 crystal (GGA-PBE, the Alexandria database).

a = 10.843 Å, b = 10.843 Å, c = 5.362 Å
α = 90.00°, β = 90.00°, γ = 120.00°
Element x y z (fractional)
Pr (0.000, 0.424, 0.000)
Pr (0.000, 0.793, 0.000)
Pr (0.187, 0.729, 0.500)
Pr (0.207, 0.207, 0.000)
Pr (0.271, 0.458, 0.500)
Pr (0.424, 0.000, 0.000)
Pr (0.458, 0.271, 0.500)
Pr (0.542, 0.813, 0.500)
Pr (0.576, 0.576, 0.000)
Pr (0.729, 0.187, 0.500)
Pr (0.793, 0.000, 0.000)
Pr (0.813, 0.542, 0.500)
Mn (0.000, 0.155, 0.500)
Mn (0.155, 0.000, 0.500)
Mn (0.333, 0.667, 0.000)
Mn (0.667, 0.333, 0.000)
Mn (0.845, 0.845, 0.500)
C (0.000, 0.321, 0.500)
C (0.000, 0.446, 0.500)
C (0.000, 0.810, 0.500)
C (0.190, 0.190, 0.500)
C (0.196, 0.712, 0.000)
C (0.288, 0.484, 0.000)
C (0.321, 0.000, 0.500)
C (0.446, 0.000, 0.500)
C (0.484, 0.288, 0.000)
C (0.516, 0.804, 0.000)
C (0.554, 0.554, 0.500)
C (0.679, 0.679, 0.500)
C (0.712, 0.196, 0.000)
C (0.804, 0.516, 0.000)
C (0.810, 0.000, 0.500)

Output
E = -7.7420 eV per atom
Total magnetic moment = 0.89 μB per formula unit

# 8
# PrMn5C4

A relaxed PrMn5C4 crystal (GGA-PBE, the Alexandria database).

a = 6.157 Å, b = 6.157 Å, c = 6.157 Å
α = 148.74°, β = 116.30°, γ = 72.67°
Element x y z (fractional)
Pr (0.000, 0.000, 0.000)
Mn (0.137, 0.317, 0.820)
Mn (0.497, 0.317, 0.180)
Mn (0.500, 0.000, 0.500)
Mn (0.503, 0.683, 0.820)
Mn (0.863, 0.683, 0.180)
C (0.265, 0.765, 0.500)
C (0.301, 0.500, 0.801)
C (0.699, 0.500, 0.199)
C (0.735, 0.235, 0.500)

Output
E = -8.7037 eV per atom
Total magnetic moment = 3.99 μB per formula unit

# 9
# Pr2Mn17C2

A relaxed Pr2Mn17C2 crystal (GGA-PBE, the Alexandria database).

a = 6.510 Å, b = 6.510 Å, c = 6.484 Å
α = 96.13°, β = 96.13°, γ = 84.46°
Element x y z (fractional)
Pr (0.142, 0.142, 0.343)
Pr (0.858, 0.858, 0.657)
Mn (0.000, 0.500, 0.000)
Mn (0.156, 0.156, 0.872)
Mn (0.165, 0.631, 0.337)
Mn (0.218, 0.493, 0.719)
Mn (0.233, 0.767, 0.000)
Mn (0.369, 0.835, 0.663)
Mn (0.404, 0.404, 0.094)
Mn (0.493, 0.218, 0.719)
Mn (0.500, 0.000, 0.000)
Mn (0.500, 0.500, 0.500)
Mn (0.507, 0.782, 0.281)
Mn (0.596, 0.596, 0.906)
Mn (0.631, 0.165, 0.337)
Mn (0.767, 0.233, 0.000)
Mn (0.782, 0.507, 0.281)
Mn (0.835, 0.369, 0.663)
Mn (0.844, 0.844, 0.128)
C (0.000, 0.500, 0.500)
C (0.500, 0.000, 0.500)

Output
E = -8.7590 eV per atom
Total magnetic moment = 5.05 μB per formula unit

# 10
# PrMn2C2

A relaxed PrMn2C2 crystal (GGA-PBE, the Alexandria database).

a = 6.308 Å, b = 5.561 Å, c = 5.285 Å
α = 71.08°, β = 56.50°, γ = 52.43°
Element x y z (fractional)
Pr (0.125, 0.125, 0.125)
Pr (0.875, 0.875, 0.875)
Mn (0.240, 0.240, 0.510)
Mn (0.490, 0.490, 0.760)
Mn (0.510, 0.510, 0.240)
Mn (0.760, 0.760, 0.490)
C (0.193, 0.557, 0.193)
C (0.443, 0.807, 0.443)
C (0.557, 0.193, 0.557)
C (0.807, 0.443, 0.807)

Output
E = -8.4856 eV per atom
Total magnetic moment = 0.70 μB per formula unit

# 11
# PrMn12C6

A relaxed PrMn12C6 crystal (GGA-PBE, the Alexandria database).

a = 5.948 Å, b = 5.948 Å, c = 5.948 Å
α = 103.18°, β = 103.18°, γ = 103.18°
Element x y z (fractional)
Pr (0.000, 0.000, 0.000)
Mn (0.134, 0.500, 0.866)
Mn (0.134, 0.866, 0.500)
Mn (0.190, 0.464, 0.464)
Mn (0.464, 0.190, 0.464)
Mn (0.464, 0.464, 0.190)
Mn (0.500, 0.134, 0.866)
Mn (0.500, 0.866, 0.134)
Mn (0.536, 0.536, 0.810)
Mn (0.536, 0.810, 0.536)
Mn (0.810, 0.536, 0.536)
Mn (0.866, 0.134, 0.500)
Mn (0.866, 0.500, 0.134)
C (0.227, 0.227, 0.665)
C (0.227, 0.665, 0.227)
C (0.335, 0.773, 0.773)
C (0.665, 0.227, 0.227)
C (0.773, 0.335, 0.773)
C (0.773, 0.773, 0.335)

Output
E = -9.0140 eV per atom
Total magnetic moment = 9.90 μB per formula unit

# 12
# PrMnC2

A relaxed PrMnC2 crystal (GGA-PBE, the Alexandria database).

a = 5.606 Å, b = 5.606 Å, c = 5.606 Å
α = 35.04°, β = 35.04°, γ = 35.04°
Element x y z (fractional)
Pr (0.000, 0.000, 0.000)
Mn (0.500, 0.500, 0.500)
C (0.223, 0.223, 0.223)
C (0.777, 0.777, 0.777)

Output
E = -7.6698 eV per atom
Total magnetic moment = 2.25 μB per formula unit

# 13
# Pr2MnC4

A relaxed Pr2MnC4 crystal (GGA-PBE, the Alexandria database).

a = 6.931 Å, b = 6.931 Å, c = 6.931 Å
α = 112.71°, β = 84.33°, γ = 135.46°
Element x y z (fractional)
Pr (0.145, 0.161, 0.306)
Pr (0.355, 0.661, 0.017)
Pr (0.645, 0.339, 0.983)
Pr (0.855, 0.839, 0.694)
Mn (0.250, 0.750, 0.500)
Mn (0.750, 0.250, 0.500)
C (0.078, 0.664, 0.742)
C (0.123, 0.832, 0.955)
C (0.377, 0.332, 0.709)
C (0.422, 0.164, 0.587)
C (0.578, 0.836, 0.413)
C (0.623, 0.668, 0.291)
C (0.877, 0.168, 0.045)
C (0.922, 0.336, 0.258)

Output
E = -8.0621 eV per atom
Total magnetic moment = 1.00 μB per formula unit

# 14
# PrTaMnC3

A relaxed PrTaMnC3 crystal (GGA-PBE, the Alexandria database).

a = 7.123 Å, b = 3.357 Å, c = 7.479 Å
α = 90.00°, β = 104.66°, γ = 90.00°
Element x y z (fractional)
Pr (0.187, 0.250, 0.205)
Pr (0.813, 0.750, 0.795)
Ta (0.352, 0.750, 0.858)
Ta (0.648, 0.250, 0.142)
Mn (0.095, 0.250, 0.605)
Mn (0.905, 0.750, 0.395)
C (0.125, 0.250, 0.852)
C (0.169, 0.750, 0.537)
C (0.449, 0.750, 0.150)
C (0.551, 0.250, 0.850)
C (0.831, 0.250, 0.463)
C (0.875, 0.750, 0.148)

Output
E = -8.9691 eV per atom
Total magnetic moment = 0.00 μB per formula unit

# 15
# PrU2MnC4

A relaxed PrU2MnC4 crystal (GGA-PBE, the Alexandria database).

a = 5.983 Å, b = 5.983 Å, c = 11.655 Å
α = 90.00°, β = 90.00°, γ = 145.40°
Element x y z (fractional)
Pr (0.104, 0.896, 0.750)
Pr (0.896, 0.104, 0.250)
U (0.369, 0.631, 0.549)
U (0.369, 0.631, 0.951)
U (0.631, 0.369, 0.049)
U (0.631, 0.369, 0.451)
Mn (0.160, 0.840, 0.250)
Mn (0.840, 0.160, 0.750)
C (0.000, 0.000, 0.000)
C (0.000, 0.000, 0.500)
C (0.255, 0.745, 0.121)
C (0.255, 0.745, 0.379)
C (0.415, 0.585, 0.750)
C (0.585, 0.415, 0.250)
C (0.745, 0.255, 0.621)
C (0.745, 0.255, 0.879)

Output
E = -9.2625 eV per atom
Total magnetic moment = 0.00 μB per formula unit

# 16
# MnPt2C

A relaxed MnPt2C crystal (GGA-PBE, the Alexandria database).

a = 5.370 Å, b = 5.370 Å, c = 5.370 Å
α = 103.21°, β = 103.21°, γ = 122.88°
Element x y z (fractional)
Mn (0.000, 0.000, 0.000)
Mn (0.750, 0.250, 0.500)
Pt (0.233, 0.125, 0.608)
Pt (0.375, 0.767, 0.892)
Pt (0.517, 0.625, 0.392)
Pt (0.875, 0.483, 0.108)
C (0.250, 0.750, 0.500)
C (0.500, 0.500, 0.000)

Output
E = -7.2587 eV per atom
Total magnetic moment = 4.07 μB per formula unit

# 17
# MnPtC3

A relaxed MnPtC3 crystal (GGA-PBE, the Alexandria database).

a = 3.958 Å, b = 3.958 Å, c = 3.958 Å
α = 90.00°, β = 90.00°, γ = 90.00°
Element x y z (fractional)
Mn (0.000, 0.000, 0.000)
Pt (0.500, 0.500, 0.500)
C (0.000, 0.500, 0.500)
C (0.500, 0.000, 0.500)
C (0.500, 0.500, 0.000)

Output
E = -5.7377 eV per atom
Total magnetic moment = 0.18 μB per formula unit

# 18
# Mn3PtC

A relaxed Mn3PtC crystal (GGA-PBE, the Alexandria database).

a = 3.930 Å, b = 3.930 Å, c = 3.930 Å
α = 90.00°, β = 90.00°, γ = 90.00°
Element x y z (fractional)
Mn (0.000, 0.000, 0.500)
Mn (0.000, 0.500, 0.000)
Mn (0.500, 0.000, 0.000)
Pt (0.500, 0.500, 0.500)
C (0.000, 0.000, 0.000)

Output
E = -8.6327 eV per atom
Total magnetic moment = 8.57 μB per formula unit

# 19
# Mn3PtC

A relaxed Mn3PtC crystal (GGA-PBE, the Alexandria database).

a = 4.877 Å, b = 4.877 Å, c = 4.877 Å
α = 90.00°, β = 90.00°, γ = 90.00°
Element x y z (fractional)
Mn (0.000, 0.000, 0.500)
Mn (0.000, 0.500, 0.000)
Mn (0.500, 0.000, 0.000)
Pt (0.000, 0.000, 0.000)
C (0.500, 0.500, 0.500)

Output
E = -6.6612 eV per atom
Total magnetic moment = 12.06 μB per formula unit

# 20
# MnPtC3

A relaxed MnPtC3 crystal (GGA-PBE, the Alexandria database).

a = 3.765 Å, b = 3.765 Å, c = 3.765 Å
α = 90.00°, β = 90.00°, γ = 90.00°
Element x y z (fractional)
Mn (0.000, 0.000, 0.000)
Pt (0.500, 0.500, 0.500)
C (0.000, 0.000, 0.500)
C (0.000, 0.500, 0.000)
C (0.500, 0.000, 0.000)

Output
E = -6.6617 eV per atom
Total magnetic moment = 0.00 μB per formula unit